(1)
Material: Sm2Ga3SnPt4
Method: DFT, GGA-PBE
State: relaxed

a = 4.1958 Å, b = 4.1958 Å, c = 11.2155 Å
α = 90.00°, β = 90.00°, γ = 90.00°
Closest atoms and distances in Å follow each position.
Fractional positions:
1 Sn 0.5000 0.5000 0.5000  4 Pt 2.69, 4 Ga 2.97
2 Sm 0.5000 0.0000 0.2451  8 Pt 3.19-3.46, 6 Ga 3.23-3.55, 2 Sn 3.55
3 Sm 0.0000 0.5000 0.7549  8 Pt 3.19-3.46, 6 Ga 3.23-3.55, 2 Sn 3.55
4 Pt 0.5000 0.0000 0.6504  3 Ga 2.46-2.69, 2 Sn 2.69
5 Pt 0.0000 0.5000 0.3496  3 Ga 2.46-2.69, 2 Sn 2.69
6 Pt 0.0000 0.0000 0.0000  4 Ga 2.56
7 Pt 0.5000 0.5000 0.0000  4 Ga 2.56
8 Ga 0.5000 0.0000 0.8695  5 Pt 2.46-2.56
9 Ga 0.0000 0.0000 0.5000  4 Pt 2.69, 4 Sn 2.97
10 Ga 0.0000 0.5000 0.1305  5 Pt 2.46-2.56

- Fermi-level density of states: 4.99 states/eV/f.u.
- Electronic total energy: -5.60 eV per atom


(2)
Material: AcAlAu3
Method: DFT, GGA-PBE
State: relaxed

a = 4.9653 Å, b = 4.9653 Å, c = 4.9653 Å
α = 90.00°, β = 90.00°, γ = 90.00°
Closest atoms and distances in Å follow each position.
Fractional positions:
1 Au 0.0000 0.5000 0.0000  2 Al 2.48
2 Au 0.0000 0.0000 0.5000  2 Al 2.48
3 Au 0.5000 0.0000 0.0000  2 Al 2.48
4 Ac 0.5000 0.5000 0.5000  12 Au 3.51
5 Al 0.0000 0.0000 0.0000  6 Au 2.48

- Fermi-level density of states: 1.60 states/eV/f.u.
- Electronic total energy: -4.08 eV per atom
- Energy relative to the lowest polymorph listed for this composition: 147 meV per atom


(3)
Material: Pm4Er11Tm9
Method: DFT, GGA-PBE
State: relaxed

a = 3.6451 Å, b = 14.9115 Å, c = 14.9115 Å
α = 112.73°, β = 90.00°, γ = 90.00°
Closest atoms and distances in Å follow each position.
Fractional positions:
1 Er 0.0000 0.0441 0.4068  2 Pm 3.36, 6 Tm 3.43-3.65, 3 Er 3.50-3.65
2 Er 0.0000 0.6352 0.3648  4 Pm 3.25, 4 Tm 3.51
3 Er 0.0000 0.0000 0.0000  8 Tm 3.44, 2 Er 3.65
4 Er 0.0000 0.3648 0.6352  4 Pm 3.25, 4 Tm 3.51
5 Er 0.0000 0.9559 0.5932  2 Pm 3.36, 6 Tm 3.43-3.65, 3 Er 3.50-3.65
6 Er 0.0000 0.1592 0.8408  8 Tm 3.60-3.64, 5 Er 3.65-3.95
7 Er 0.0000 0.4068 0.0441  2 Pm 3.36, 6 Tm 3.43-3.65, 3 Er 3.50-3.65
8 Er 0.0000 0.7123 0.7123  4 Pm 3.23, 4 Tm 3.55
9 Er 0.0000 0.8408 0.1592  8 Tm 3.60-3.64, 5 Er 3.65-3.95
10 Er 0.0000 0.5932 0.9559  2 Pm 3.36, 6 Tm 3.43-3.65, 3 Er 3.50-3.65
11 Er 0.0000 0.2877 0.2877  4 Pm 3.23, 4 Tm 3.55
12 Pm 0.5000 0.5539 0.7549  6 Er 3.23-3.36, 3 Tm 3.47-3.57
13 Pm 0.5000 0.7549 0.5539  6 Er 3.23-3.36, 3 Tm 3.47-3.57
14 Pm 0.5000 0.2451 0.4461  6 Er 3.23-3.36, 3 Tm 3.47-3.57
15 Pm 0.5000 0.4461 0.2451  6 Er 3.23-3.36, 3 Tm 3.47-3.57
16 Tm 0.5000 0.8373 0.3660  3 Tm 3.36-3.65, 8 Er 3.43-3.65, 1 Pm 3.47
17 Tm 0.5000 0.3660 0.8373  3 Tm 3.36-3.65, 8 Er 3.43-3.65, 1 Pm 3.47
18 Tm 0.5000 0.2119 0.0665  8 Er 3.44-3.64, 1 Pm 3.48, 3 Tm 3.61-3.65
19 Tm 0.5000 0.0665 0.2119  8 Er 3.44-3.64, 1 Pm 3.48, 3 Tm 3.61-3.65
20 Tm 0.5000 0.7881 0.9335  8 Er 3.44-3.64, 1 Pm 3.48, 3 Tm 3.61-3.65
21 Tm 0.5000 0.5000 0.5000  4 Pm 3.57, 2 Tm 3.65, 8 Er 3.82-3.95
22 Tm 0.5000 0.1627 0.6340  3 Tm 3.36-3.65, 8 Er 3.43-3.65, 1 Pm 3.47
23 Tm 0.5000 0.9335 0.7881  8 Er 3.44-3.64, 1 Pm 3.48, 3 Tm 3.61-3.65
24 Tm 0.5000 0.6340 0.1627  3 Tm 3.36-3.65, 8 Er 3.43-3.65, 1 Pm 3.47

- Fermi-level density of states: 29.60 states/eV/f.u.
- Electronic total energy: -4.50 eV per atom


(4)
Material: CaPrCdBi
Method: DFT, GGA-PBE
State: relaxed

a = 5.5481 Å, b = 5.5481 Å, c = 5.5481 Å
α = 60.00°, β = 60.00°, γ = 60.00°
Closest atoms and distances in Å follow each position.
Fractional positions:
1 Ca 0.0000 0.0000 0.0000  4 Cd 3.40, 4 Bi 3.40
2 Pr 0.5000 0.5000 0.5000  4 Bi 3.40, 4 Cd 3.40
3 Cd 0.7500 0.7500 0.7500  4 Ca 3.40, 4 Pr 3.40
4 Bi 0.2500 0.2500 0.2500  4 Pr 3.40, 4 Ca 3.40

- Fermi-level density of states: 4.37 states/eV/f.u.
- Electronic total energy: -3.39 eV per atom


(5)
Material: AcSb2Pb2
Method: DFT, GGA-PBE
State: relaxed

a = 4.6705 Å, b = 4.7383 Å, c = 14.8157 Å
α = 90.00°, β = 99.07°, γ = 90.00°
Closest atoms and distances in Å follow each position.
Fractional positions:
1 Pb 0.0486 0.7500 0.0973  8 Pb 3.33-3.70, 2 Sb 3.40
2 Pb 0.9514 0.2500 0.9027  8 Pb 3.33-3.70, 2 Sb 3.40
3 Pb 0.5487 0.2500 0.0975  8 Pb 3.33-3.71, 2 Sb 3.38
4 Pb 0.4513 0.7500 0.9025  8 Pb 3.33-3.71, 2 Sb 3.38
5 Ac 0.6610 0.7500 0.3221  8 Sb 3.43-3.51
6 Ac 0.3390 0.2500 0.6779  8 Sb 3.43-3.51
7 Sb 0.1320 0.2500 0.2641  4 Pb 3.38-3.40, 4 Ac 3.43
8 Sb 0.8680 0.7500 0.7359  4 Pb 3.38-3.40, 4 Ac 3.43
9 Sb 0.7498 0.2500 0.4995  4 Sb 3.33, 4 Ac 3.50-3.51
10 Sb 0.2502 0.7500 0.5005  4 Sb 3.33, 4 Ac 3.50-3.51

- Fermi-level density of states: 1.91 states/eV/f.u.
- Electronic total energy: -4.42 eV per atom


(6)
Material: LiCaO2
Method: DFT, GGA-PBE
State: relaxed

a = 6.4050 Å, b = 6.4050 Å, c = 6.4050 Å
α = 32.57°, β = 32.57°, γ = 32.57°
Closest atoms and distances in Å follow each position.
Fractional positions:
1 O 0.1100 0.1100 0.1100  1 Ca 2.00
2 O 0.8900 0.8900 0.8900  1 Ca 2.00
3 Li 0.5000 0.5000 0.5000  6 O 2.32
4 Ca 0.0000 0.0000 0.0000  2 O 2.00

- Fermi-level density of states: 1.28 states/eV/f.u.
- Electronic total energy: -4.41 eV per atom


(7)
Material: Mg6AlBi
Method: DFT, GGA-PBE
State: relaxed

a = 6.5383 Å, b = 6.5383 Å, c = 5.0431 Å
α = 90.00°, β = 90.00°, γ = 120.43°
Closest atoms and distances in Å follow each position.
Fractional positions:
1 Mg 0.3298 0.6702 0.5000  2 Al 3.09, 10 Mg 3.14-3.34
2 Mg 0.6624 0.8313 0.0000  8 Mg 3.13-3.29, 2 Al 3.19-3.35, 2 Bi 3.25-3.28
3 Mg 0.3119 0.1503 0.5000  6 Mg 3.00-3.34, 2 Al 3.11, 2 Bi 3.21
4 Mg 0.8497 0.6881 0.5000  6 Mg 3.00-3.34, 2 Al 3.11, 2 Bi 3.21
5 Mg 0.8402 0.1598 0.5000  10 Mg 3.12-3.42, 2 Bi 3.21
6 Mg 0.1687 0.3376 0.0000  8 Mg 3.13-3.29, 2 Al 3.19-3.35, 2 Bi 3.25-3.28
7 Al 0.1722 0.8278 0.0000  10 Mg 3.09-3.35, 2 Bi 3.25
8 Bi 0.6651 0.3349 0.0000  10 Mg 3.21-3.28, 2 Al 3.25

- Fermi-level density of states: 3.10 states/eV/f.u.
- Electronic total energy: -2.15 eV per atom
- Energy relative to the lowest polymorph listed for this composition: 0 meV per atom


(8)
Material: La7Cu2Rh2
Method: DFT, GGA-PBE
State: relaxed

a = 6.9832 Å, b = 7.2007 Å, c = 6.9832 Å
α = 90.00°, β = 112.13°, γ = 90.00°
Closest atoms and distances in Å follow each position.
Fractional positions:
1 La 0.0002 0.7295 0.4997  2 Rh 2.82
2 La 0.9998 0.2705 0.5003  2 Rh 2.82
3 La 0.5003 0.7295 0.9998  2 Rh 2.82
4 La 0.4998 0.2651 0.5002  2 Rh 2.99, 2 Cu 3.15
5 La 0.0000 0.0000 0.0000  2 Rh 3.49, 4 Cu 3.81
6 La 0.4997 0.2705 0.0002  2 Rh 2.82
7 La 0.5002 0.7349 0.4998  2 Rh 2.99, 2 Cu 3.15
8 Cu 0.1598 0.5000 0.1598  1 Cu 2.49
9 Cu 0.8402 0.5000 0.8402  1 Cu 2.49
10 Rh 0.6986 0.0000 0.3014  6 La 2.82-2.99
11 Rh 0.3014 0.0000 0.6986  6 La 2.82-2.99

- Fermi-level density of states: 12.64 states/eV/f.u.
- Electronic total energy: -5.45 eV per atom


(9)
Material: Dy2HgPb3
Method: DFT, GGA-PBE
State: relaxed

a = 4.5563 Å, b = 4.6421 Å, c = 8.1111 Å
α = 90.00°, β = 106.31°, γ = 90.00°
Closest atoms and distances in Å follow each position.
Fractional positions:
1 Dy 0.8498 0.5000 0.6996  8 Pb 3.26-3.59, 2 Hg 3.29
2 Dy 0.1502 0.5000 0.3004  8 Pb 3.26-3.59, 2 Hg 3.29
3 Hg 0.0000 0.0000 0.0000  8 Pb 3.25-3.54, 4 Dy 3.29
4 Pb 0.5000 0.5000 0.0000  4 Hg 3.25, 4 Dy 3.26, 4 Pb 3.57
5 Pb 0.6742 0.0000 0.3484  6 Dy 3.27-3.59, 4 Pb 3.28-3.57, 2 Hg 3.54
6 Pb 0.3258 0.0000 0.6516  6 Dy 3.27-3.59, 4 Pb 3.28-3.57, 2 Hg 3.54

- Fermi-level density of states: 2.50 states/eV/f.u.
- Electronic total energy: -3.84 eV per atom
- Energy relative to the lowest polymorph listed for this composition: 0 meV per atom


(10)
Material: La4TbPm2Sc
Method: DFT, GGA-PBE
State: relaxed

a = 5.2064 Å, b = 5.1630 Å, c = 11.3472 Å
α = 62.93°, β = 90.00°, γ = 90.00°
Closest atoms and distances in Å follow each position.
Fractional positions:
1 La 0.0000 0.7563 0.7449  2 Sc 3.57-3.58, 4 Pm 3.59-3.65, 4 La 3.66-3.67, 2 Tb 3.66
2 La 0.0000 0.2437 0.2551  2 Sc 3.57-3.58, 4 Pm 3.59-3.65, 4 La 3.66-3.67, 2 Tb 3.66
3 La 0.5000 0.2546 0.7458  4 Pm 3.58-3.66, 2 Sc 3.60, 2 Tb 3.64, 4 La 3.66-3.67
4 La 0.5000 0.7454 0.2542  4 Pm 3.58-3.66, 2 Sc 3.60, 2 Tb 3.64, 4 La 3.66-3.67
5 Sc 0.0000 0.5000 0.5000  8 La 3.57-3.60, 4 Pm 3.67
6 Pm 0.0000 0.0000 0.0000  8 La 3.64-3.66, 4 Tb 3.67
7 Pm 0.5000 0.0000 0.5000  8 La 3.58-3.59, 4 Sc 3.67
8 Tb 0.5000 0.5000 0.0000  8 La 3.64-3.66, 4 Pm 3.67

- Fermi-level density of states: 11.76 states/eV/f.u.
- Electronic total energy: -5.00 eV per atom


(11)
Material: TaReAg
Method: DFT, GGA-PBE
State: relaxed

a = 5.2765 Å, b = 5.2765 Å, c = 5.2765 Å
α = 143.48°, β = 143.48°, γ = 52.61°
Closest atoms and distances in Å follow each position.
Fractional positions:
1 Ta 0.6827 0.6827 0.0000  4 Re 2.66, 4 Ag 2.91
2 Ag 0.0000 0.0000 0.0000  5 Re 2.91-3.00, 5 Ta 2.91-3.00
3 Re 0.3175 0.3175 0.0000  4 Ta 2.66, 4 Ag 2.91

- Fermi-level density of states: 3.63 states/eV/f.u.
- Electronic total energy: -8.71 eV per atom
- Energy relative to the lowest polymorph listed for this composition: 59 meV per atom


(12)
Material: NaSrCd3
Method: DFT, GGA-PBE
State: relaxed

a = 5.4523 Å, b = 5.4523 Å, c = 5.4523 Å
α = 90.00°, β = 90.00°, γ = 90.00°
Closest atoms and distances in Å follow each position.
Fractional positions:
1 Cd 0.0000 0.0000 0.5000  2 Na 2.73
2 Cd 0.5000 0.0000 0.0000  2 Na 2.73
3 Cd 0.0000 0.5000 0.0000  2 Na 2.73
4 Na 0.0000 0.0000 0.0000  6 Cd 2.73
5 Sr 0.5000 0.5000 0.5000  12 Cd 3.86

- Fermi-level density of states: 4.06 states/eV/f.u.
- Electronic total energy: -1.03 eV per atom
- Energy relative to the lowest polymorph listed for this composition: 295 meV per atom


(13)
Material: ErUNiOs
Method: DFT, GGA-PBE
State: relaxed

a = 4.7609 Å, b = 4.7609 Å, c = 4.7609 Å
α = 60.00°, β = 60.00°, γ = 60.00°
Closest atoms and distances in Å follow each position.
Fractional positions:
1 Ni 0.0000 0.0000 0.0000  4 U 2.92, 4 Er 2.92
2 Er 0.7500 0.7500 0.7500  4 Os 2.92, 4 Ni 2.92
3 U 0.2500 0.2500 0.2500  4 Os 2.92, 4 Ni 2.92
4 Os 0.5000 0.5000 0.5000  4 Er 2.92, 4 U 2.92

- Fermi-level density of states: 5.57 states/eV/f.u.
- Electronic total energy: -8.35 eV per atom


(14)
Material: Dy3YPb5
Method: DFT, GGA-PBE
State: relaxed

a = 6.5541 Å, b = 9.5383 Å, c = 9.5383 Å
α = 120.00°, β = 90.00°, γ = 90.00°
Closest atoms and distances in Å follow each position.
Fractional positions:
1 Pb 0.2500 0.0000 0.2888  5 Dy 3.15-3.39, 2 Y 3.20
2 Pb 0.7500 0.2888 0.2888  5 Dy 3.15-3.39, 2 Y 3.20
3 Pb 0.2500 0.7112 0.7112  5 Dy 3.15-3.39, 2 Y 3.20
4 Pb 0.7500 0.7112 0.0000  5 Dy 3.15-3.39, 2 Y 3.20
5 Pb 0.5000 0.6667 0.3333  2 Pb 3.28, 6 Dy 3.40
6 Pb 0.5000 0.3333 0.6667  2 Pb 3.28, 6 Dy 3.40
7 Pb 0.2500 0.2888 0.0000  5 Dy 3.15-3.39, 2 Y 3.20
8 Pb 0.7500 0.0000 0.7112  5 Dy 3.15-3.39, 2 Y 3.20
9 Pb 0.0000 0.6667 0.3333  2 Pb 3.28, 6 Dy 3.40
10 Pb 0.0000 0.3333 0.6667  2 Pb 3.28, 6 Dy 3.40
11 Dy 0.7500 0.6191 0.6191  9 Pb 3.15-3.40
12 Dy 0.2500 0.6191 0.0000  9 Pb 3.15-3.40
13 Dy 0.2500 0.0000 0.6191  9 Pb 3.15-3.40
14 Dy 0.7500 0.0000 0.3809  9 Pb 3.15-3.40
15 Dy 0.7500 0.3809 0.0000  9 Pb 3.15-3.40
16 Dy 0.2500 0.3809 0.3809  9 Pb 3.15-3.40
17 Y 0.0000 0.0000 0.0000  6 Pb 3.20, 2 Y 3.28
18 Y 0.5000 0.0000 0.0000  6 Pb 3.20, 2 Y 3.28

- Fermi-level density of states: 8.38 states/eV/f.u.
- Electronic total energy: -4.72 eV per atom


(15)
Material: CeSm7Dy12
Method: DFT, GGA-PBE
State: relaxed

a = 8.7014 Å, b = 8.7014 Å, c = 8.7014 Å
α = 90.55°, β = 90.55°, γ = 90.55°
Closest atoms and distances in Å follow each position.
Fractional positions:
1 Dy 0.6300 0.7767 0.2364  5 Sm 3.42-3.58, 7 Dy 3.57-3.78
2 Dy 0.2364 0.6300 0.7767  5 Sm 3.42-3.58, 7 Dy 3.57-3.78
3 Dy 0.2233 0.7635 0.3700  5 Sm 3.42-3.58, 7 Dy 3.57-3.78
4 Dy 0.8750 0.6425 0.5468  2 Sm 3.38-3.50, 8 Dy 3.41-3.78
5 Dy 0.7767 0.2364 0.6300  5 Sm 3.42-3.58, 7 Dy 3.57-3.78
6 Dy 0.3575 0.4532 0.1250  2 Sm 3.38-3.50, 8 Dy 3.41-3.78
7 Dy 0.4532 0.1250 0.3575  2 Sm 3.38-3.50, 8 Dy 3.41-3.78
8 Dy 0.1250 0.3575 0.4532  2 Sm 3.38-3.50, 8 Dy 3.41-3.78
9 Dy 0.5468 0.8750 0.6425  2 Sm 3.38-3.50, 8 Dy 3.41-3.78
10 Dy 0.3700 0.2233 0.7635  5 Sm 3.42-3.58, 7 Dy 3.57-3.78
11 Dy 0.7635 0.3700 0.2233  5 Sm 3.42-3.58, 7 Dy 3.57-3.78
12 Dy 0.6425 0.5468 0.8750  2 Sm 3.38-3.50, 8 Dy 3.41-3.78
13 Sm 0.6716 0.0609 0.9637  1 Ce 2.93, 1 Sm 3.23
14 Sm 0.0363 0.3284 0.9391  1 Ce 2.93, 1 Sm 3.23
15 Sm 0.0609 0.9637 0.6716  1 Ce 2.93, 1 Sm 3.23
16 Sm 0.9637 0.6716 0.0609  1 Ce 2.93, 1 Sm 3.23
17 Sm 0.3284 0.9391 0.0363  1 Ce 2.93, 1 Sm 3.23
18 Sm 0.5000 0.5000 0.5000  12 Dy 3.50-3.53
19 Sm 0.9391 0.0363 0.3284  1 Ce 2.93, 1 Sm 3.23
20 Ce 0.0000 0.0000 0.0000  6 Sm 2.93

- Fermi-level density of states: 39.18 states/eV/f.u.
- Electronic total energy: -4.47 eV per atom


(16)
Material: NaY3Te4
Method: DFT, GGA-PBE
State: relaxed

a = 4.3604 Å, b = 7.6377 Å, c = 7.6377 Å
α = 108.93°, β = 90.00°, γ = 90.00°
Closest atoms and distances in Å follow each position.
Fractional positions:
1 Na 0.5000 0.0000 0.0000  6 Te 3.11-3.13
2 Y 0.0000 0.0000 0.5000  6 Te 3.11
3 Y 0.5000 0.5000 0.5000  6 Te 3.09-3.11
4 Y 0.0000 0.5000 0.0000  6 Te 3.11
5 Te 0.5000 0.2499 0.7501  1 Na 3.11, 5 Y 3.11
6 Te 0.5000 0.7501 0.2499  1 Na 3.11, 5 Y 3.11
7 Te 0.0000 0.7472 0.7472  4 Y 3.09-3.11, 2 Na 3.13
8 Te 0.0000 0.2528 0.2528  4 Y 3.09-3.11, 2 Na 3.13

- Fermi-level density of states: 3.32 states/eV/f.u.
- Electronic total energy: -5.49 eV per atom
- Energy relative to the lowest polymorph listed for this composition: 0 meV per atom


(17)
Material: LaZrSc2
Method: DFT, GGA-PBE
State: relaxed

a = 5.0417 Å, b = 5.0417 Å, c = 11.0965 Å
α = 76.87°, β = 76.87°, γ = 90.00°
Closest atoms and distances in Å follow each position.
Fractional positions:
1 Sc 0.3749 0.6250 0.2500  2 Sc 2.52
2 Sc 0.8750 0.6251 0.7500  2 Sc 2.52
3 Sc 0.3751 0.1250 0.2500  2 Sc 2.52
4 Sc 0.3750 0.6249 0.7500  2 Sc 2.52
5 La 0.0000 0.0000 0.0000  4 Zr 3.57, 8 Sc 3.85
6 La 0.7500 0.2500 0.5000  4 Zr 3.57, 8 Sc 3.85
7 Zr 0.2500 0.7500 0.5000  4 Sc 2.91
8 Zr 0.5000 0.5000 0.0000  4 Sc 2.91

- Fermi-level density of states: 8.88 states/eV/f.u.
- Electronic total energy: -5.54 eV per atom
- Energy relative to the lowest polymorph listed for this composition: 946 meV per atom